Entry 1:
# ScIn2Ni

An optimized crystal structure of ScIn2Ni (GGA-PBEsol, Alexandria).

The calculated volume is 72.4 Å³/cell. The calculation puts the density at 7.6 g cm⁻³. As for the density of states at the Fermi level: 2.7 states/eV/cell. As for the total energy: -5.00 eV per atom.

The space group is P4/mmm (No. 123) and the conventional cell measures 3.159, 3.159 and 7.253 Å, with angles of 90.00, 90.00 and 90.00 degrees. The distinct sites, in fractional coordinates, are Sc at (0.000, 0.000, 0.000), In at (0.500, 0.500, 0.290) and Ni at (0.000, 0.000, 0.500).



Entry 2:
# ScInNi2

An optimized crystal structure of ScInNi2 (GGA-PBEsol, Alexandria).

The calculated volume is 124.9 Å³/cell. The calculation puts the density at 7.4 g cm⁻³. As for the density of states at the Fermi level: 3.6 states/eV/cell. As for the total energy: -5.87 eV per atom.

The space group is Amm2 (No. 38) and the conventional cell measures 3.871, 3.435 and 9.392 Å, with angles of 90.00, 90.00 and 90.00 degrees. The distinct sites, in fractional coordinates, are Sc at (0.000, 0.000, 0.000), In at (0.500, 0.000, 0.706), Ni at (0.000, 0.000, 0.283) and Ni at (0.500, 0.000, 0.429).



Entry 3:
# ScInNi2

An optimized crystal structure of ScInNi2 (GGA-PBEsol, Alexandria).

The calculated volume is 191.9 Å³/cell. The calculation puts the density at 7.2 g cm⁻³. As for the density of states at the Fermi level: 8.7 states/eV/cell. As for the total energy: -5.49 eV per atom.

The space group is R-3m (No. 166, hexagonal axes) and the conventional cell measures 3.0889, 3.0889 and 23.2187 Å, with angles of 90.00, 90.00 and 120.00 degrees. The distinct sites, in fractional coordinates, are Sc at (0.0000, 0.0000, 0.0000), In at (0.0000, 0.0000, 0.5000) and Ni at (0.0000, 0.0000, 0.2514).



Entry 4:
# Sc2InNi2

An optimized crystal structure of Sc2InNi2 (GGA-PBEsol, Alexandria).

The calculated volume is 164.8 Å³/cell. The calculation puts the density at 6.5 g cm⁻³. As for the density of states at the Fermi level: 7.3 states/eV/cell. As for the total energy: -6.25 eV per atom.

The space group is P4/mbm (No. 127) and the conventional cell measures 7.062, 7.062 and 3.304 Å, with angles of 90.00, 90.00 and 90.00 degrees. The distinct sites, in fractional coordinates, are Sc at (0.171, 0.329, 0.000), In at (0.000, 0.000, 0.500) and Ni at (0.123, 0.623, 0.500).



Entry 5:
# ScInNi2

An optimized crystal structure of ScInNi2 (GGA-PBEsol, Alexandria).

The calculated volume is 119.9 Å³/cell. The calculation puts the density at 7.7 g cm⁻³. As for the density of states at the Fermi level: 3.0 states/eV/cell. As for the total energy: -5.80 eV per atom.

The space group is I-4m2 (No. 119) and the conventional cell measures 3.784, 3.784 and 8.374 Å, with angles of 90.00, 90.00 and 90.00 degrees. The distinct sites, in fractional coordinates, are Sc at (0.000, 0.000, 0.000), In at (0.000, 0.500, 0.250), Ni at (0.000, 0.000, 0.500) and Ni at (0.000, 0.500, 0.750).



Entry 6:
# Sc2InNi

An optimized crystal structure of Sc2InNi (GGA-PBEsol, Alexandria).

The calculated volume is 73.9 Å³/cell. The calculation puts the density at 5.9 g cm⁻³. As for the density of states at the Fermi level: 2.4 states/eV/cell. As for the total energy: -6.09 eV per atom.

The space group is P4/mmm (No. 123) and the conventional cell measures 3.175, 3.175 and 7.330 Å, with angles of 90.00, 90.00 and 90.00 degrees. The distinct sites, in fractional coordinates, are Sc at (0.000, 0.000, 0.207), In at (0.500, 0.500, 0.500) and Ni at (0.500, 0.500, 0.000).



Entry 7:
# ScInNi2

An optimized crystal structure of ScInNi2 (GGA-PBEsol, Alexandria).

The calculated volume is 59.8 Å³/cell. The calculation puts the density at 7.7 g cm⁻³. As for the density of states at the Fermi level: 2.4 states/eV/cell. As for the total energy: -5.84 eV per atom.

The space group is P4/mmm (No. 123) and the conventional cell measures 4.322, 4.322 and 3.201 Å, with angles of 90.00, 90.00 and 90.00 degrees. The distinct sites, in fractional coordinates, are Sc at (0.000, 0.000, 0.000), In at (0.500, 0.500, 0.000) and Ni at (0.000, 0.500, 0.500).



Entry 8:
# ScInNi6

An optimized crystal structure of ScInNi6 (GGA-PBEsol, Alexandria).

The calculated volume is 787.7 Å³/cell. The calculation puts the density at 8.6 g cm⁻³. As for the density of states at the Fermi level: 72.1 states/eV/cell. As for the total energy: -6.05 eV per atom.

The space group is Cmmm (No. 65) and the conventional cell measures 7.331, 10.368 and 10.364 Å, with angles of 90.00, 90.00 and 90.00 degrees. The distinct sites, in fractional coordinates, are Sc at (0.000, 0.000, 0.249), Sc at (0.000, 0.249, 0.000), In at (0.000, 0.247, 0.500), In at (0.000, 0.500, 0.249), Ni at (0.000, 0.000, 0.000), Ni at (0.000, 0.000, 0.500), Ni at (0.000, 0.249, 0.249), Ni at (0.000, 0.500, 0.000), Ni at (0.000, 0.500, 0.500), Ni at (0.249, 0.126, 0.124) and Ni at (0.249, 0.375, 0.374).



Entry 9:
# Sc2InNi

An optimized crystal structure of Sc2InNi (GGA-PBEsol, Alexandria).

The calculated volume is 240.3 Å³/cell. The calculation puts the density at 5.5 g cm⁻³. As for the density of states at the Fermi level: 12.8 states/eV/cell. As for the total energy: -5.65 eV per atom.

The space group is R3m (No. 160, hexagonal axes) and the conventional cell measures 3.2501, 3.2501 and 26.2713 Å, with angles of 90.00, 90.00 and 120.00 degrees. The distinct sites, in fractional coordinates, are Sc at (0.0000, 0.0000, 0.0000), Sc at (0.0000, 0.0000, 0.2301), In at (0.0000, 0.0000, 0.4696) and Ni at (0.0000, 0.0000, 0.7321).



Entry 10:
# ScIn2Ni

An optimized crystal structure of ScIn2Ni (GGA-PBEsol, Alexandria).

The calculated volume is 73.4 Å³/cell. The calculation puts the density at 7.5 g cm⁻³. As for the density of states at the Fermi level: 3.2 states/eV/cell. As for the total energy: -4.95 eV per atom.

The space group is P4/mmm (No. 123) and the conventional cell measures 4.161, 4.161 and 4.236 Å, with angles of 90.00, 90.00 and 90.00 degrees. The distinct sites, in fractional coordinates, are Sc at (0.000, 0.000, 0.000), In at (0.000, 0.500, 0.500) and Ni at (0.500, 0.500, 0.000).



Entry 11:
# ScIn2TcNi

An optimized crystal structure of ScIn2TcNi (GGA-PBEsol, Alexandria).

The calculated volume is 100.1 Å³/cell. The calculation puts the density at 7.2 g cm⁻³. As for the density of states at the Fermi level: 4.5 states/eV/cell. As for the total energy: -5.55 eV per atom.

The space group is P4/mmm (No. 123) and the conventional cell measures 4.644, 4.644 and 4.640 Å, with angles of 90.00, 90.00 and 90.00 degrees. The distinct sites, in fractional coordinates, are Sc at (0.000, 0.000, 0.000), In at (0.000, 0.500, 0.500), Tc at (0.500, 0.500, 0.000) and Ni at (0.500, 0.500, 0.500).



Entry 12:
# InNi3Se

An optimized crystal structure of InNi3Se (GGA-PBEsol, Alexandria).

The calculated volume is 80.5 Å³/cell. The calculation puts the density at 7.6 g cm⁻³. As for the density of states at the Fermi level: 3.9 states/eV/cell. As for the uncorrected formation energy: 1.28 eV/f.u.

The space group is Pm-3m (No. 221) and the conventional cell measures 4.318, 4.318 and 4.318 Å, with angles of 90.00, 90.00 and 90.00 degrees. The distinct sites, in fractional coordinates, are In at (0.000, 0.000, 0.000), Ni at (0.000, 0.500, 0.500) and Se at (0.500, 0.500, 0.500).



Entry 13:
# InNi2Se

An optimized crystal structure of InNi2Se (GGA-PBEsol, Alexandria).

The calculated volume is 58.2 Å³/cell. The distance to the lowest polymorph of the same formula comes out at 0.67 eV/f.u. The calculation puts the density at 8.9 g cm⁻³. As for the density of states at the Fermi level: 1.9 states/eV/cell. As for the uncorrected formation energy: 0.15 eV/f.u.

The space group is P4/mmm (No. 123) and the conventional cell measures 4.212, 4.212 and 3.280 Å, with angles of 90.00, 90.00 and 90.00 degrees. The distinct sites, in fractional coordinates, are In at (0.000, 0.000, 0.000), Ni at (0.000, 0.500, 0.500) and Se at (0.500, 0.500, 0.000).